Record 1
Here is a geometry-optimized PmGaNi2 structure from Alexandria. Energies are from PBE.

Output
The calculation puts the energy of formation from the pure elements at -50.06 kJ/mol of atoms.

a = 4.1800 Å, b = 4.1800 Å, c = 9.2464 Å
α = 90.00°, β = 90.00°, γ = 120.00°
With the nearest neighbours (Å) after each atom.
Fractional positions:
Pm 0.3333 0.6667 0.2500  8 Ni 2.82-3.01
Pm 0.6667 0.3333 0.7500  8 Ni 2.82-3.01
Ga 0.0000 0.0000 0.0000  6 Ni 2.47
Ga 0.0000 0.0000 0.5000  6 Ni 2.47
Ni 0.6667 0.3333 0.0548  3 Ga 2.47, 3 Ni 2.62
Ni 0.3333 0.6667 0.5548  3 Ga 2.47, 3 Ni 2.62
Ni 0.6667 0.3333 0.4452  3 Ga 2.47, 3 Ni 2.62
Ni 0.3333 0.6667 0.9452  3 Ga 2.47, 3 Ni 2.62

=====

Record 2
Here is a geometry-optimized Mg2Ge2Mo structure from Alexandria. Energies are from PBE.

Output
Its relative energy among the computed polymorphs is 0.000 eV per atom. The calculation puts the energy of formation from the pure elements at -0.24 kJ/mol of atoms.

a = 6.7889 Å, b = 6.7889 Å, c = 3.8881 Å
α = 90.00°, β = 90.00°, γ = 90.00°
With the nearest neighbours (Å) after each atom.
Fractional positions:
Mg 0.1693 0.6693 0.5000  6 Ge 2.67-2.87
Mg 0.6693 0.8307 0.5000  6 Ge 2.67-2.87
Mg 0.8307 0.3307 0.5000  6 Ge 2.67-2.87
Mg 0.3307 0.1693 0.5000  6 Ge 2.67-2.87
Mo 0.0000 0.0000 0.0000  4 Ge 2.62
Mo 0.5000 0.5000 0.0000  4 Ge 2.62
Ge 0.3595 0.8595 0.0000  2 Mo 2.62, 6 Mg 2.67-2.87, 1 Ge 2.70
Ge 0.8595 0.6405 0.0000  2 Mo 2.62, 6 Mg 2.67-2.87, 1 Ge 2.70
Ge 0.6405 0.1405 0.0000  2 Mo 2.62, 6 Mg 2.67-2.87, 1 Ge 2.70
Ge 0.1405 0.3595 0.0000  2 Mo 2.62, 6 Mg 2.67-2.87, 1 Ge 2.70

=====

Record 3
Here is a geometry-optimized Tm8CoIr2 structure from Alexandria. Energies are from PBE.

Output
Its relative energy among the computed polymorphs is 0.064 eV per atom. The calculation puts the energy of formation from the pure elements at -36.93 kJ/mol of atoms.

a = 5.7967 Å, b = 7.4050 Å, c = 7.4050 Å
α = 111.73°, β = 100.63°, γ = 100.63°
With the nearest neighbours (Å) after each atom.
Fractional positions:
Tm 0.5801 0.3406 0.0825  2 Ir 2.76-2.78, 1 Co 2.98
Tm 0.5801 0.0825 0.3406  2 Ir 2.76-2.78, 1 Co 2.98
Tm 0.1729 0.3565 0.3565  2 Ir 2.94, 1 Co 2.96
Tm 0.9901 0.2093 0.7896  1 Co 2.74
Tm 0.9901 0.7896 0.2093  1 Co 2.74
Tm 0.8019 0.6436 0.6436  2 Ir 2.92, 1 Co 2.97
Tm 0.3801 0.9293 0.6715  2 Ir 2.78-2.79, 1 Co 2.87
Tm 0.3801 0.6715 0.9293  2 Ir 2.78-2.79, 1 Co 2.87
Co 0.1539 0.9961 0.9961  8 Tm 2.74-2.98
Ir 0.4852 0.6946 0.3204  6 Tm 2.76-2.94
Ir 0.4852 0.3204 0.6946  6 Tm 2.76-2.94

=====

Record 4
Here is a geometry-optimized NiAu3C structure from Alexandria. Energies are from PBE.

Output
Its relative energy among the computed polymorphs is 1.181 eV per atom. The calculation puts the energy of formation from the pure elements at 196.46 kJ/mol of atoms.

a = 4.7428 Å, b = 4.7428 Å, c = 4.7428 Å
α = 90.00°, β = 90.00°, γ = 90.00°
With the nearest neighbours (Å) after each atom.
Fractional positions:
Ni 0.0000 0.0000 0.0000  6 Au 2.37
C 0.5000 0.5000 0.5000  12 Au 3.35
Au 0.0000 0.5000 0.0000  2 Ni 2.37
Au 0.0000 0.0000 0.5000  2 Ni 2.37
Au 0.5000 0.0000 0.0000  2 Ni 2.37